! CsCoSe | Alexandria via LeMat-Bulk | GGA-PBE | optimized geometry; values from VASP
&SYSTEM
  ibrav = 0, nat = 6, ntyp = 3
/
ATOMIC_SPECIES
Cs 132.91 Cs.upf
Co 58.93 Co.upf
Se 78.96 Se.upf
CELL_PARAMETERS angstrom
4.070 0.000 0.000
0.000 4.070 0.000
0.000 0.000 12.022
ATOMIC_POSITIONS crystal
Cs 0.250 0.250 0.225
Cs 0.750 0.750 0.775
Co 0.250 0.750 0.500
Co 0.750 0.250 0.500
Se 0.250 0.250 0.606
Se 0.750 0.750 0.394
! ΔE_f (raw) in eV per atom: -0.402
! SG: P4/nmm

! Mg3Si2H4O9 | Alexandria via LeMat-Bulk | GGA-PBE | optimized geometry; values from VASP
&SYSTEM
  ibrav = 0, nat = 36, ntyp = 4
/
ATOMIC_SPECIES
Mg 24.30 Mg.upf
Si 28.09 Si.upf
H 1.01 H.upf
O 16.00 O.upf
CELL_PARAMETERS angstrom
5.369 0.000 0.000
-2.685 4.650 0.000
0.000 0.000 14.828
ATOMIC_POSITIONS crystal
Mg 0.000 0.331 0.000
Mg 0.000 0.669 0.500
Mg 0.331 0.000 0.000
Mg 0.331 0.331 0.500
Mg 0.669 0.000 0.500
Mg 0.669 0.669 0.000
Si 0.333 0.667 0.310
Si 0.333 0.667 0.810
Si 0.667 0.333 0.310
Si 0.667 0.333 0.810
H 0.000 0.000 0.360
H 0.000 0.000 0.860
H 0.000 0.349 0.631
H 0.000 0.651 0.131
H 0.349 0.000 0.631
H 0.349 0.349 0.131
H 0.651 0.000 0.131
H 0.651 0.651 0.631
O 0.000 0.000 0.425
O 0.000 0.000 0.925
O 0.000 0.336 0.566
O 0.000 0.486 0.769
O 0.000 0.514 0.269
O 0.000 0.664 0.066
O 0.333 0.667 0.419
O 0.333 0.667 0.919
O 0.336 0.000 0.566
O 0.336 0.336 0.066
O 0.486 0.000 0.769
O 0.486 0.486 0.269
O 0.514 0.000 0.269
O 0.514 0.514 0.769
O 0.664 0.000 0.066
O 0.664 0.664 0.566
O 0.667 0.333 0.419
O 0.667 0.333 0.919
! SG: P6_3cm

! Ta2Nb15Rh2 | Alexandria via LeMat-Bulk | GGA-PBE | optimized geometry; values from VASP
&SYSTEM
  ibrav = 0, nat = 19, ntyp = 3
/
ATOMIC_SPECIES
Ta 180.95 Ta.upf
Nb 92.91 Nb.upf
Rh 102.91 Rh.upf
CELL_PARAMETERS angstrom
4.561 2.634 5.005
-4.561 2.634 5.005
0.000 -5.267 5.005
ATOMIC_POSITIONS crystal
Ta 0.179 0.179 0.179
Ta 0.821 0.821 0.821
Nb 0.000 0.500 0.500
Nb 0.154 0.154 0.661
Nb 0.154 0.661 0.154
Nb 0.175 0.500 0.825
Nb 0.175 0.825 0.500
Nb 0.339 0.846 0.846
Nb 0.500 0.000 0.500
Nb 0.500 0.175 0.825
Nb 0.500 0.500 0.000
Nb 0.500 0.825 0.175
Nb 0.661 0.154 0.154
Nb 0.825 0.175 0.500
Nb 0.825 0.500 0.175
Nb 0.846 0.339 0.846
Nb 0.846 0.846 0.339
Rh 0.413 0.413 0.413
Rh 0.587 0.587 0.587
! Energy of formation in kcal/mol of atoms: 7.22
! SG: R-3m

! Al2GeH | Alexandria via LeMat-Bulk | GGA-PBE | optimized geometry; values from VASP
&SYSTEM
  ibrav = 0, nat = 4, ntyp = 3
/
ATOMIC_SPECIES
Al 26.98 Al.upf
Ge 72.64 Ge.upf
H 1.01 H.upf
CELL_PARAMETERS angstrom
2.053 1.185 5.630
-2.053 1.185 5.630
0.000 -2.370 5.630
ATOMIC_POSITIONS crystal
Al 0.104 0.104 0.104
Al 0.896 0.896 0.896
Ge 0.500 0.500 0.500
H 0.000 0.000 0.000
! ΔE to the lowest computed polymorph in eV/atom: 0.000
! SG: R-3m

! DyLuInGa | Alexandria via LeMat-Bulk | GGA-PBE | optimized geometry; values from VASP
&SYSTEM
  ibrav = 0, nat = 4, ntyp = 4
/
ATOMIC_SPECIES
Dy 162.50 Dy.upf
Lu 174.97 Lu.upf
In 114.82 In.upf
Ga 69.72 Ga.upf
CELL_PARAMETERS angstrom
0.000 3.640 3.640
3.640 0.000 3.640
3.640 3.640 0.000
ATOMIC_POSITIONS crystal
Dy 0.000 0.000 0.000
Lu 0.500 0.500 0.500
In 0.250 0.250 0.250
Ga 0.750 0.750 0.750
! Energy of formation in kcal/mol of atoms: -10.91
! SG: F-43m

! V2CuPd3 | Alexandria via LeMat-Bulk | GGA-PBE | optimized geometry; values from VASP
&SYSTEM
  ibrav = 0, nat = 6, ntyp = 3
/
ATOMIC_SPECIES
V 50.94 V.upf
Cu 63.55 Cu.upf
Pd 106.42 Pd.upf
CELL_PARAMETERS angstrom
3.208 0.000 0.000
0.000 3.208 0.000
0.000 0.000 8.501
ATOMIC_POSITIONS crystal
V 0.000 0.000 0.172
V 0.000 0.000 0.828
Cu 0.000 0.000 0.500
Pd 0.500 0.500 0.000
Pd 0.500 0.500 0.335
Pd 0.500 0.500 0.665
! Energy of formation in kcal/mol of atoms: -2.38
! SG: P4/mmm

! UGa2Pd2 | Alexandria via LeMat-Bulk | GGA-PBE | optimized geometry; values from VASP
&SYSTEM
  ibrav = 0, nat = 10, ntyp = 3
/
ATOMIC_SPECIES
U 238.03 U.upf
Ga 69.72 Ga.upf
Pd 106.42 Pd.upf
CELL_PARAMETERS angstrom
5.687 0.000 0.000
0.000 4.403 0.000
0.000 0.000 7.393
ATOMIC_POSITIONS crystal
U 0.000 0.000 0.000
U 0.500 0.000 0.000
Ga 0.250 0.000 0.416
Ga 0.250 0.500 0.792
Ga 0.750 0.000 0.584
Ga 0.750 0.500 0.208
Pd 0.000 0.500 0.500
Pd 0.250 0.500 0.182
Pd 0.500 0.500 0.500
Pd 0.750 0.500 0.818
! Energy of formation in kcal/mol of atoms: -7.49
! ΔE to the lowest computed polymorph in eV/atom: 0.096
! SG: Pmma

! LiAcHgGe2 | Alexandria via LeMat-Bulk | GGA-PBE | optimized geometry; values from VASP
&SYSTEM
  ibrav = 0, nat = 5, ntyp = 4
/
ATOMIC_SPECIES
Li 6.94 Li.upf
Ac 227.00 Ac.upf
Hg 200.59 Hg.upf
Ge 72.64 Ge.upf
CELL_PARAMETERS angstrom
-2.236 2.236 5.812
2.236 -2.236 5.812
2.236 2.236 -5.812
ATOMIC_POSITIONS crystal
Li 0.000 0.000 0.000
Ac 0.750 0.250 0.500
Hg 0.500 0.500 0.000
Ge 0.141 0.641 0.500
Ge 0.359 0.859 0.500
! Energy of formation in kcal/mol of atoms: -11.47
! SG: I-4m2

! KMnTc | Alexandria via LeMat-Bulk | GGA-PBE | optimized geometry; values from VASP
&SYSTEM
  ibrav = 0, nat = 3, ntyp = 3
/
ATOMIC_SPECIES
K 39.10 K.upf
Mn 54.94 Mn.upf
Tc 98.00 Tc.upf
CELL_PARAMETERS angstrom
-1.539 1.539 6.812
1.539 -1.539 6.812
1.539 1.539 -6.812
ATOMIC_POSITIONS crystal
K 0.000 0.000 0.000
Mn 0.287 0.287 0.000
Tc 0.707 0.707 0.000
! Energy of formation in kcal/mol of atoms: 19.04
! ΔE to the lowest computed polymorph in eV/atom: 0.263
! SG: I4mm

! Li3GaGe | Alexandria via LeMat-Bulk | GGA-PBE | optimized geometry; values from VASP
&SYSTEM
  ibrav = 0, nat = 10, ntyp = 3
/
ATOMIC_SPECIES
Li 6.94 Li.upf
Ga 69.72 Ga.upf
Ge 72.64 Ge.upf
CELL_PARAMETERS angstrom
4.535 0.000 0.000
0.000 5.492 0.000
-1.864 0.000 6.494
ATOMIC_POSITIONS crystal
Li 0.147 0.010 0.222
Li 0.147 0.490 0.222
Li 0.294 0.250 0.643
Li 0.706 0.750 0.357
Li 0.853 0.510 0.778
Li 0.853 0.990 0.778
Ga 0.417 0.750 0.950
Ga 0.583 0.250 0.050
Ge 0.297 0.750 0.567
Ge 0.703 0.250 0.433
! Energy of formation in kcal/mol of atoms: -6.71
! ΔE to the lowest computed polymorph in eV/atom: 0.000
! SG: P2_1/m

! Nd5Sm6Pu | Alexandria via LeMat-Bulk | GGA-PBE | optimized geometry; values from VASP
&SYSTEM
  ibrav = 0, nat = 12, ntyp = 3
/
ATOMIC_SPECIES
Nd 144.24 Nd.upf
Sm 150.36 Sm.upf
Pu 244.00 Pu.upf
CELL_PARAMETERS angstrom
3.149 -5.468 0.000
3.149 5.468 0.000
-2.139 0.000 11.805
ATOMIC_POSITIONS crystal
Nd 0.000 0.000 0.000
Nd 0.167 0.833 0.500
Nd 0.334 0.666 0.000
Nd 0.666 0.334 0.000
Nd 0.833 0.167 0.500
Sm 0.089 0.418 0.253
Sm 0.254 0.254 0.747
Sm 0.418 0.089 0.253
Sm 0.582 0.911 0.747
Sm 0.746 0.746 0.253
Sm 0.911 0.582 0.747
Pu 0.500 0.500 0.500
! Energy of formation in kcal/mol of atoms: 1.18
! SG: C2/m

! PmPrC | Alexandria via LeMat-Bulk | GGA-PBE | optimized geometry; values from VASP
&SYSTEM
  ibrav = 0, nat = 3, ntyp = 3
/
ATOMIC_SPECIES
Pm 145.00 Pm.upf
Pr 140.91 Pr.upf
C 12.01 C.upf
CELL_PARAMETERS angstrom
3.200 -1.848 0.000
3.200 1.848 0.000
-2.097 0.000 6.652
ATOMIC_POSITIONS crystal
Pm 0.000 0.000 0.000
Pr 0.527 0.527 0.575
C 0.266 0.266 0.796
! Energy of formation in kcal/mol of atoms: -2.46
! ΔE to the lowest computed polymorph in eV/atom: 0.000
! SG: Cm

no.,V (Å³/f.u.),E_tot (eV/cell)
1,99.55,-25.3
2,185.08,-228.4
3,360.72,-183.5
4,82.17,-14.6
5,96.45,-16.8
6,87.49,-38.5
7,92.56,-58.7
8,116.22,-18.0
9,64.58,-18.2
10,80.87,-29.7
11,406.55,-65.9
12,78.67,-19.1